Entry 1:
# LiGaTe2O8

A geometry-optimized LiGaTe2O8 structure (GGA-PBE, Alexandria via LeMat-Bulk).

```
LiGaTe2O8
1.0
-3.427 3.427 3.251
3.427 -3.427 3.251
3.427 3.427 -3.251
Li Ga Te O
1 1 2 8
direct
0.000 0.000 0.000
0.250 0.750 0.500
0.500 0.500 0.000
0.750 0.250 0.500
0.315 0.110 0.795
0.315 0.520 0.205
0.359 0.055 0.304
0.480 0.685 0.795
0.752 0.055 0.696
0.890 0.685 0.205
0.945 0.248 0.304
0.945 0.641 0.696
```

Formation energy (no corrections): -0.914 eV per atom
DFT total energy: -61.9 eV per formula unit

***

Entry 2:
# Li2TaTc

A geometry-optimized Li2TaTc structure (GGA-PBE, Alexandria via LeMat-Bulk).

```
Li2TaTc
1.0
6.007 0.000 0.000
0.000 6.007 0.000
0.000 0.000 6.007
Li Ta Tc
8 4 4
direct
0.250 0.250 0.250
0.250 0.250 0.750
0.250 0.750 0.250
0.250 0.750 0.750
0.750 0.250 0.250
0.750 0.250 0.750
0.750 0.750 0.250
0.750 0.750 0.750
0.000 0.000 0.000
0.000 0.500 0.500
0.500 0.000 0.500
0.500 0.500 0.000
0.000 0.000 0.500
0.000 0.500 0.000
0.500 0.000 0.000
0.500 0.500 0.500
```

Energy relative to the lowest polymorph listed for this composition: 0.488 eV per atom
DFT total energy: -23.5 eV per formula unit

***

Entry 3:
# La7Pr2Hg2

A geometry-optimized La7Pr2Hg2 structure (GGA-PBE, Alexandria via LeMat-Bulk).

```
La7Pr2Hg2
1.0
6.065 -3.565 0.000
6.065 3.565 0.000
-0.031 0.000 9.172
La Pr Hg
7 2 2
direct
0.000 0.000 0.000
0.001 0.499 0.298
0.499 0.001 0.298
0.499 0.499 0.812
0.501 0.501 0.188
0.501 0.999 0.702
0.999 0.501 0.702
0.231 0.769 0.500
0.769 0.231 0.500
0.270 0.270 0.000
0.730 0.730 0.000
```

Energy relative to the lowest polymorph listed for this composition: 0.151 eV per atom
DFT total energy: -43.9 eV per formula unit

***

Entry 4:
# Tb2Sm13

A geometry-optimized Tb2Sm13 structure (GGA-PBE, Alexandria via LeMat-Bulk).

```
Tb2Sm13
1.0
6.721 0.000 0.000
1.240 8.990 0.000
1.236 3.514 8.276
Tb Sm
2 13
direct
0.099 0.269 0.431
0.901 0.731 0.569
0.000 0.500 0.000
0.102 0.935 0.765
0.197 0.697 0.204
0.298 0.130 0.971
0.304 0.463 0.637
0.398 0.899 0.403
0.499 0.668 0.834
0.501 0.332 0.166
0.602 0.101 0.597
0.696 0.537 0.363
0.702 0.870 0.029
0.803 0.303 0.796
0.898 0.065 0.235
```

DFT total energy: -69.7 eV per formula unit

***

Entry 5:
# Si2TePd2

A geometry-optimized Si2TePd2 structure (GGA-PBE, Alexandria via LeMat-Bulk).

```
Si2TePd2
1.0
3.855 0.000 0.000
0.000 3.855 0.000
0.000 0.000 12.134
Si Te Pd
4 2 4
direct
0.000 0.500 0.250
0.000 0.500 0.750
0.500 0.000 0.250
0.500 0.000 0.750
0.000 0.000 0.000
0.500 0.500 0.500
0.000 0.000 0.378
0.000 0.000 0.622
0.500 0.500 0.122
0.500 0.500 0.878
```

Formation energy (no corrections): -0.196 eV per atom
Energy relative to the lowest polymorph listed for this composition: 0.000 eV per atom
DFT total energy: -25.4 eV per formula unit

***

Entry 6:
# Nd2DyAl2Zn2

A geometry-optimized Nd2DyAl2Zn2 structure (GGA-PBE, Alexandria via LeMat-Bulk).

```
Nd2DyAl2Zn2
1.0
2.265 1.308 9.373
-2.265 1.308 9.373
0.000 -2.616 9.373
Nd Dy Al Zn
2 1 2 2
direct
0.126 0.126 0.126
0.874 0.874 0.874
0.000 0.000 0.000
0.270 0.270 0.270
0.730 0.730 0.730
0.392 0.392 0.392
0.608 0.608 0.608
```

DFT total energy: -26.4 eV per formula unit

***

Entry 7:
# Li2AuCl

A geometry-optimized Li2AuCl structure (GGA-PBE, Alexandria via LeMat-Bulk).

```
Li2AuCl
1.0
4.462 0.000 0.000
0.000 4.489 0.000
0.000 0.000 6.603
Li Au Cl
4 2 2
direct
0.000 0.000 0.235
0.000 0.000 0.765
0.500 0.500 0.235
0.500 0.500 0.765
0.000 0.500 0.500
0.500 0.000 0.500
0.000 0.500 0.000
0.500 0.000 0.000
```

Formation energy (no corrections): -0.958 eV per atom
Energy relative to the lowest polymorph listed for this composition: 0.050 eV per atom
DFT total energy: -12.8 eV per formula unit

***

Entry 8:
# Pm3Ga2Pd

A geometry-optimized Pm3Ga2Pd structure (GGA-PBE, Alexandria via LeMat-Bulk).

```
Pm3Ga2Pd
1.0
12.109 0.000 0.000
0.000 4.469 0.000
0.000 0.000 11.330
Pm Ga Pd
12 8 4
direct
0.048 0.250 0.123
0.121 0.750 0.560
0.225 0.250 0.802
0.275 0.750 0.302
0.379 0.250 0.060
0.452 0.750 0.623
0.548 0.250 0.377
0.621 0.750 0.940
0.725 0.250 0.698
0.775 0.750 0.198
0.879 0.250 0.440
0.952 0.750 0.877
0.013 0.750 0.304
0.192 0.750 0.010
0.308 0.250 0.510
0.487 0.250 0.804
0.513 0.750 0.196
0.692 0.750 0.490
0.808 0.250 0.990
0.987 0.250 0.696
0.123 0.250 0.377
0.377 0.750 0.877
0.623 0.250 0.123
0.877 0.750 0.623
```

Energy relative to the lowest polymorph listed for this composition: 0.000 eV per atom
DFT total energy: -29.3 eV per formula unit

***

The following magnetization values (in μB per cell) correspond, in order, to the records above: 0.0, 0.0, 0.0, 0.0, 0.0, 0.0, 0.0, 0.0.